Run P
A plane-wave DFT calculation with PBE was carried out for LiScTaCo after structural relaxation.

Cell: 6.2378 6.2378 6.2378 Å, 90.00 90.00 90.00°
With the nearest neighbours (Å) after each atom.
Space group F-43m (No. 216)
Symmetry-distinct sites (fractional):
Li 0.0000 0.0000 0.0000 x4  4 Ta 2.70, 4 Sc 2.70
Sc 0.2500 0.2500 0.7500 x4  4 Li 2.70, 4 Co 2.70
Ta 0.2500 0.2500 0.2500 x4  4 Co 2.70, 4 Li 2.70
Co 0.0000 0.0000 0.5000 x4  4 Sc 2.70, 4 Ta 2.70

Computed properties:
M_tot = 0.132 μB/cell


Run Q
A plane-wave DFT calculation with PBE was carried out for LiScTaCo after structural relaxation.

Cell: 6.2182 6.2182 6.2182 Å, 90.00 90.00 90.00°
With the nearest neighbours (Å) after each atom.
Space group F-43m (No. 216)
Symmetry-distinct sites (fractional):
Li 0.0000 0.0000 0.0000 x4  4 Co 2.69, 4 Sc 2.69
Sc 0.2500 0.2500 0.7500 x4  4 Ta 2.69, 4 Li 2.69
Ta 0.0000 0.0000 0.5000 x4  4 Co 2.69, 4 Sc 2.69
Co 0.2500 0.2500 0.2500 x4  4 Ta 2.69, 4 Li 2.69

Computed properties:
M_tot = 0.001 μB/cell


Result of the stability comparison: run P is the most stable of them.


Run P
A plane-wave DFT calculation with PBE was carried out for LiCoSiW after structural relaxation.

Cell: 5.8043 5.8043 5.8043 Å, 90.00 90.00 90.00°
With the nearest neighbours (Å) after each atom.
Space group F-43m (No. 216)
Symmetry-distinct sites (fractional):
Li 0.0000 0.0000 0.0000 x4  4 W 2.51, 4 Co 2.51
Co 0.2500 0.2500 0.7500 x4  4 Li 2.51, 4 Si 2.51
Si 0.0000 0.0000 0.5000 x4  4 W 2.51, 4 Co 2.51
W 0.2500 0.2500 0.2500 x4  4 Li 2.51, 4 Si 2.51

Computed properties:
M_tot = 5.881 μB/cell


Run Q
A plane-wave DFT calculation with PBE was carried out for LiCoSiW after structural relaxation.

Cell: 5.7805 5.7805 5.7805 Å, 90.00 90.00 90.00°
With the nearest neighbours (Å) after each atom.
Space group F-43m (No. 216)
Symmetry-distinct sites (fractional):
Li 0.0000 0.0000 0.0000 x4  4 Si 2.50, 4 W 2.50
Co 0.0000 0.0000 0.5000 x4  4 W 2.50, 4 Si 2.50
Si 0.2500 0.2500 0.2500 x4  4 Li 2.50, 4 Co 2.50
W 0.2500 0.2500 0.7500 x4  4 Li 2.50, 4 Co 2.50

Computed properties:
M_tot = 7.756 μB/cell


Result of the stability comparison: run Q is the most stable of them.


Run P
A plane-wave DFT calculation with PBE was carried out for LiTaCoSn after structural relaxation.

Cell: 6.1724 6.1724 6.1724 Å, 90.00 90.00 90.00°
With the nearest neighbours (Å) after each atom.
Space group F-43m (No. 216)
Symmetry-distinct sites (fractional):
Li 0.0000 0.0000 0.0000 x4  4 Ta 2.67, 4 Sn 2.67
Ta 0.2500 0.2500 0.7500 x4  4 Li 2.67, 4 Co 2.67
Co 0.0000 0.0000 0.5000 x4  4 Ta 2.67, 4 Sn 2.67
Sn 0.2500 0.2500 0.2500 x4  4 Co 2.67, 4 Li 2.67

Computed properties:
M_tot = 3.600 μB/cell


Run Q
A plane-wave DFT calculation with PBE was carried out for LiTaCoSn after structural relaxation.

Cell: 6.3212 6.3212 6.3212 Å, 90.00 90.00 90.00°
With the nearest neighbours (Å) after each atom.
Space group F-43m (No. 216)
Symmetry-distinct sites (fractional):
Li 0.0000 0.0000 0.0000 x4  4 Co 2.74, 4 Ta 2.74
Ta 0.2500 0.2500 0.2500 x4  4 Sn 2.74, 4 Li 2.74
Co 0.2500 0.2500 0.7500 x4  4 Sn 2.74, 4 Li 2.74
Sn 0.0000 0.0000 0.5000 x4  4 Ta 2.74, 4 Co 2.74

Computed properties:
M_tot = 5.951 μB/cell


Result of the stability comparison: run P is the most stable of them.


Run P
A plane-wave DFT calculation with PBE was carried out for LiZrCoSn after structural relaxation.

Cell: 4.4393 4.4393 6.2785 Å, 90.00 90.00 90.00°
With the nearest neighbours (Å) after each atom.
Space group P-4m2 (No. 115)
Symmetry-distinct sites (fractional):
Li 0.0000 0.5000 0.2503 x2  4 Zr 2.72, 4 Sn 2.72
Zr 0.0000 0.0000 0.0000 x1  4 Li 2.72, 4 Co 2.72
Zr 0.5000 0.5000 0.5000 x1  4 Co 2.71, 4 Li 2.72
Co 0.0000 0.5000 0.7483 x2  4 Zr 2.71-2.72, 4 Sn 2.71-2.72
Sn 0.0000 0.0000 0.5000 x1  4 Co 2.71, 4 Li 2.72
Sn 0.5000 0.5000 0.0000 x1  4 Li 2.72, 4 Co 2.72

Computed properties:
M_tot = 0.001 μB/cell


Run Q
A plane-wave DFT calculation with PBE was carried out for LiZrCoSn after structural relaxation.

Cell: 6.5423 6.5423 6.5423 Å, 90.00 90.00 90.00°
With the nearest neighbours (Å) after each atom.
Space group F-43m (No. 216)
Symmetry-distinct sites (fractional):
Li 0.0000 0.0000 0.0000 x4  4 Co 2.83, 4 Sn 2.83
Zr 0.0000 0.0000 0.5000 x4  4 Sn 2.83, 4 Co 2.83
Co 0.2500 0.2500 0.7500 x4  4 Zr 2.83, 4 Li 2.83
Sn 0.2500 0.2500 0.2500 x4  4 Zr 2.83, 4 Li 2.83

Computed properties:
M_tot = 3.215 μB/cell


Result of the stability comparison: run P is the most stable of them.


Run P
A plane-wave DFT calculation with PBE was carried out for LiTaTlCo after structural relaxation.

Cell: 6.3495 6.3495 6.3495 Å, 90.00 90.00 90.00°
With the nearest neighbours (Å) after each atom.
Space group F-43m (No. 216)
Symmetry-distinct sites (fractional):
Li 0.0000 0.0000 0.0000 x4  4 Tl 2.75, 4 Co 2.75
Ta 0.0000 0.0000 0.5000 x4  4 Tl 2.75, 4 Co 2.75
Tl 0.2500 0.2500 0.2500 x4  4 Ta 2.75, 4 Li 2.75
Co 0.2500 0.2500 0.7500 x4  4 Ta 2.75, 4 Li 2.75

Computed properties:
M_tot = 1.089 μB/cell


Run Q
A plane-wave DFT calculation with PBE was carried out for LiTaTlCo after structural relaxation.

Cell: 6.3367 6.3367 6.3367 Å, 90.00 90.00 90.00°
With the nearest neighbours (Å) after each atom.
Space group F-43m (No. 216)
Symmetry-distinct sites (fractional):
Li 0.0000 0.0000 0.0000 x4  4 Co 2.74, 4 Ta 2.74
Ta 0.2500 0.2500 0.7500 x4  4 Tl 2.74, 4 Li 2.74
Tl 0.0000 0.0000 0.5000 x4  4 Ta 2.74, 4 Co 2.74
Co 0.2500 0.2500 0.2500 x4  4 Tl 2.74, 4 Li 2.74

Computed properties:
M_tot = 0.470 μB/cell


Result of the stability comparison: run P is the most stable of them.


Run P
A plane-wave DFT calculation with PBE was carried out for LiTaZnCo after structural relaxation.

Cell: 5.9192 5.9192 5.9192 Å, 90.00 90.00 90.00°
With the nearest neighbours (Å) after each atom.
Space group F-43m (No. 216)
Symmetry-distinct sites (fractional):
Li 0.0000 0.0000 0.0000 x4  4 Ta 2.56, 4 Zn 2.56
Ta 0.2500 0.2500 0.7500 x4  4 Li 2.56, 4 Co 2.56
Zn 0.2500 0.2500 0.2500 x4  4 Li 2.56, 4 Co 2.56
Co 0.0000 0.0000 0.5000 x4  4 Ta 2.56, 4 Zn 2.56

Computed properties:
M_tot = 2.315 μB/cell


Run Q
A plane-wave DFT calculation with PBE was carried out for LiTaZnCo after structural relaxation.

Cell: 5.9473 5.9473 5.9473 Å, 90.00 90.00 90.00°
With the nearest neighbours (Å) after each atom.
Space group F-43m (No. 216)
Symmetry-distinct sites (fractional):
Li 0.0000 0.0000 0.0000 x4  4 Ta 2.58, 4 Co 2.58
Ta 0.2500 0.2500 0.2500 x4  4 Li 2.58, 4 Zn 2.58
Zn 0.0000 0.0000 0.5000 x4  4 Ta 2.58, 4 Co 2.58
Co 0.2500 0.2500 0.7500 x4  4 Li 2.58, 4 Zn 2.58

Computed properties:
M_tot = 0.556 μB/cell


Result of the stability comparison: run P is the most stable of them.